First-principles (PBE-GGA) data for SrMoAu2 after structural relaxation, as listed in Alexandria.

* D(E_F): 1.03 states/eV/atom
* ΔE to the lowest computed polymorph: 0.0868 eV/atom
* energy of formation from the pure elements: 131.6 meV/atom
* crystal system: orthorhombic

Structure (CIF):
```
data_SrMoAu2
_space_group_name_H-M_alt 'P m m m'
_space_group_IT_number 47
_cell_length_a 3.069
_cell_length_b 3.884
_cell_length_c 7.189
_cell_angle_alpha 90.00
_cell_angle_beta 90.00
_cell_angle_gamma 90.00
loop_
_space_group_symop_operation_xyz
'x,y,z'
'-x,-y,-z'
'-x,-y,z'
'x,y,-z'
'x,-y,-z'
'-x,y,z'
'-x,y,-z'
'x,-y,z'
loop_
_atom_site_label
_atom_site_type_symbol
_atom_site_fract_x
_atom_site_fract_y
_atom_site_fract_z
Sr1 Sr 0.000 0.000 0.000
Mo1 Mo 0.000 0.000 0.500
Au1 Au 0.500 0.500 0.301
```



First-principles (PBE-GGA) data for Sr3MoAu after structural relaxation, as listed in Alexandria.

* D(E_F): 0.59 states/eV/atom
* ΔE to the lowest computed polymorph: 0.0000 eV/atom
* energy of formation from the pure elements: 521.9 meV/atom
* crystal system: cubic

Structure (CIF):
```
data_Sr3MoAu
_space_group_name_H-M_alt 'P m -3 m'
_space_group_IT_number 221
_space_group_name_Hall '-P 4 2 3'
_cell_length_a 5.968
_cell_length_b 5.968
_cell_length_c 5.968
_cell_angle_alpha 90.00
_cell_angle_beta 90.00
_cell_angle_gamma 90.00
loop_
_atom_site_label
_atom_site_type_symbol
_atom_site_fract_x
_atom_site_fract_y
_atom_site_fract_z
Sr1 Sr 0.000 0.000 0.500
Mo1 Mo 0.500 0.500 0.500
Au1 Au 0.000 0.000 0.000
```



First-principles (PBE-GGA) data for SrMoAu2 after structural relaxation, as listed in Alexandria.

* D(E_F): 0.80 states/eV/atom
* ΔE to the lowest computed polymorph: 0.2915 eV/atom
* energy of formation from the pure elements: 336.3 meV/atom
* crystal system: tetragonal

Structure (CIF):
```
data_SrMoAu2
_space_group_name_H-M_alt 'I -4 m 2'
_space_group_IT_number 119
_space_group_name_Hall 'I -4 -2'
_cell_length_a 4.316
_cell_length_b 4.316
_cell_length_c 9.463
_cell_angle_alpha 90.00
_cell_angle_beta 90.00
_cell_angle_gamma 90.00
loop_
_atom_site_label
_atom_site_type_symbol
_atom_site_fract_x
_atom_site_fract_y
_atom_site_fract_z
Sr1 Sr 0.000 0.000 0.000
Mo1 Mo 0.000 0.500 0.250
Au1 Au 0.000 0.000 0.500
Au2 Au 0.000 0.500 0.750
```



First-principles (PBE-GGA) data for SrMoAu after structural relaxation, as listed in Alexandria.

* D(E_F): 1.04 states/eV/atom
* ΔE to the lowest computed polymorph: 0.0000 eV/atom
* energy of formation from the pure elements: 490.7 meV/atom
* crystal system: hexagonal

Structure (CIF):
```
data_SrMoAu
_space_group_name_H-M_alt 'P -6 m 2'
_space_group_IT_number 187
_space_group_name_Hall 'P -6 2'
_cell_length_a 4.6412
_cell_length_b 4.6412
_cell_length_c 4.2219
_cell_angle_alpha 90.00
_cell_angle_beta 90.00
_cell_angle_gamma 120.00
loop_
_atom_site_label
_atom_site_type_symbol
_atom_site_fract_x
_atom_site_fract_y
_atom_site_fract_z
Sr1 Sr 0.0000 0.0000 0.0000
Mo1 Mo 0.3333 0.6667 0.5000
Au1 Au 0.6667 0.3333 0.5000
```



First-principles (PBE-GGA) data for SrMoAu after structural relaxation, as listed in Alexandria.

* D(E_F): 1.59 states/eV/atom
* ΔE to the lowest computed polymorph: 0.3300 eV/atom
* energy of formation from the pure elements: 820.7 meV/atom
* crystal system: trigonal

Structure (CIF):
```
data_SrMoAu
_space_group_name_H-M_alt 'P 3 m 1'
_space_group_IT_number 156
_cell_length_a 3.1831
_cell_length_b 3.1831
_cell_length_c 7.5243
_cell_angle_alpha 90.00
_cell_angle_beta 90.00
_cell_angle_gamma 120.00
loop_
_space_group_symop_operation_xyz
'x,y,z'
'-y,x-y,z'
'-x+y,-x,z'
'-y,-x,z'
'-x+y,y,z'
'x,x-y,z'
loop_
_atom_site_label
_atom_site_type_symbol
_atom_site_fract_x
_atom_site_fract_y
_atom_site_fract_z
Sr1 Sr 0.0000 0.0000 0.0000
Mo1 Mo 0.6667 0.3333 0.6458
Au1 Au 0.3333 0.6667 0.3614
```



First-principles (PBE-GGA) data for SrMoAu2 after structural relaxation, as listed in Alexandria.

* D(E_F): 0.42 states/eV/atom
* ΔE to the lowest computed polymorph: 0.2994 eV/atom
* energy of formation from the pure elements: 344.2 meV/atom
* crystal system: tetragonal

Structure (CIF):
```
data_SrMoAu2
_space_group_name_H-M_alt 'P 4 m m'
_space_group_IT_number 99
_cell_length_a 3.085
_cell_length_b 3.085
_cell_length_c 8.804
_cell_angle_alpha 90.00
_cell_angle_beta 90.00
_cell_angle_gamma 90.00
loop_
_space_group_symop_operation_xyz
'x,y,z'
'-y,x,z'
'-x,-y,z'
'y,-x,z'
'-x,y,z'
'y,x,z'
'x,-y,z'
'-y,-x,z'
loop_
_atom_site_label
_atom_site_type_symbol
_atom_site_fract_x
_atom_site_fract_y
_atom_site_fract_z
Sr1 Sr 0.000 0.000 0.000
Mo1 Mo 0.500 0.500 0.707
Au1 Au 0.000 0.000 0.505
Au2 Au 0.500 0.500 0.275
```



First-principles (PBE-GGA) data for SrMoAu2 after structural relaxation, as listed in Alexandria.

* D(E_F): 0.61 states/eV/atom
* ΔE to the lowest computed polymorph: 0.2068 eV/atom
* energy of formation from the pure elements: 251.6 meV/atom
* crystal system: cubic

Structure (CIF):
```
data_SrMoAu2
_space_group_name_H-M_alt 'F m -3 m'
_space_group_IT_number 225
_space_group_name_Hall '-F 4 2 3'
_cell_length_a 7.117
_cell_length_b 7.117
_cell_length_c 7.117
_cell_angle_alpha 90.00
_cell_angle_beta 90.00
_cell_angle_gamma 90.00
loop_
_atom_site_label
_atom_site_type_symbol
_atom_site_fract_x
_atom_site_fract_y
_atom_site_fract_z
Sr1 Sr 0.000 0.000 0.000
Mo1 Mo 0.000 0.000 0.500
Au1 Au 0.250 0.250 0.250
```



First-principles (PBE-GGA) data for SrMoAu2 after structural relaxation, as listed in Alexandria.

* D(E_F): 0.55 states/eV/atom
* ΔE to the lowest computed polymorph: 0.2616 eV/atom
* energy of formation from the pure elements: 306.4 meV/atom
* crystal system: tetragonal

Structure (CIF):
```
data_SrMoAu2
_space_group_name_H-M_alt 'P 4 m m'
_space_group_IT_number 99
_cell_length_a 3.810
_cell_length_b 3.810
_cell_length_c 6.564
_cell_angle_alpha 90.00
_cell_angle_beta 90.00
_cell_angle_gamma 90.00
loop_
_space_group_symop_operation_xyz
'x,y,z'
'-y,x,z'
'-x,-y,z'
'y,-x,z'
'-x,y,z'
'y,x,z'
'x,-y,z'
'-y,-x,z'
loop_
_atom_site_label
_atom_site_type_symbol
_atom_site_fract_x
_atom_site_fract_y
_atom_site_fract_z
Sr1 Sr 0.000 0.000 0.000
Mo1 Mo 0.500 0.500 0.644
Au1 Au 0.000 0.000 0.523
Au2 Au 0.500 0.500 0.232
```



- Among the records above, which one has the lowest D(E_F)?
  number 6